A plane-wave DFT calculation with PBE-GGA was carried out for a relaxed La3Sm4 crystal.

Unit cell a=4.2989 b=4.2989 c=13.7294 alpha=80.99 beta=80.99 gamma=90.00
Positions (direct):
Sm 0.8607 0.8607 0.2785
Sm 0.1393 0.1393 0.7215
Sm 0.4260 0.4260 0.1480
Sm 0.5740 0.5740 0.8520
La 0.2890 0.2890 0.4220
La 0.0000 0.0000 0.0000
La 0.7110 0.7110 0.5780

## Properties
- Polymorph energy (0 for the lowest one): 0.029 eV per atom
- ΔE_f: 0.112 eV/atom
- Space-group type: I4/mmm, No. 139
- Crystal system: tetragonal


A plane-wave DFT calculation with PBE-GGA was carried out for a relaxed Ac2YbMg crystal.

Unit cell a=5.9379 b=5.9379 c=5.9379 alpha=60.00 beta=60.00 gamma=60.00
Site moments in Bohr magnetons follow the coordinates.
Positions (direct):
Yb 0.0000 0.0000 0.0000  0.17
Ac 0.7500 0.7500 0.7500  0.00
Ac 0.2500 0.2500 0.2500  0.00
Mg 0.5000 0.5000 0.5000  0.00

## Properties
- ΔE_f: -0.079 eV/atom
- Space-group type: Fm-3m, No. 225
- Crystal system: cubic


A plane-wave DFT calculation with PBE-GGA was carried out for a relaxed Ba2Sr2Br crystal.

Unit cell a=8.8368 b=8.8368 c=7.4000 alpha=90.00 beta=90.00 gamma=90.00
Site moments in Bohr magnetons follow the coordinates.
Positions (direct):
Ba 0.6660 0.1660 0.0000  0.09
Ba 0.8340 0.6660 0.0000  0.08
Ba 0.1660 0.3340 0.0000  0.08
Ba 0.3340 0.8340 0.0000  0.09
Br 0.0000 0.0000 0.0000  0.00
Br 0.5000 0.5000 0.0000  0.00
Sr 0.8412 0.3412 0.5000  0.03
Sr 0.3412 0.1588 0.5000  0.03
Sr 0.1588 0.6588 0.5000  0.03
Sr 0.6588 0.8412 0.5000  0.03

## Properties
- Polymorph energy (0 for the lowest one): 0.000 eV per atom
- Space-group type: P4/mbm, No. 127
- ΔE_f (raw): -0.46 eV/atom
- Crystal system: tetragonal


A plane-wave DFT calculation with PBE-GGA was carried out for a relaxed InGa3Pt crystal.

Unit cell a=5.6635 b=6.4375 c=6.4402 alpha=120.12 beta=89.97 gamma=90.02
Positions (direct):
Ga 0.2500 0.8060 0.6120
Ga 0.2500 0.3881 0.1940
Ga 0.7500 0.1940 0.3880
Ga 0.2499 0.8062 0.1937
Ga 0.7500 0.6119 0.8060
Ga 0.7501 0.1938 0.8063
In 0.2501 0.3333 0.6665
In 0.7499 0.6667 0.3335
Pt 0.0000 0.0000 0.0000
Pt 0.5000 0.0000 0.0000

## Properties
- Polymorph energy (0 for the lowest one): 0.122 eV per atom
- ΔE_f: -0.191 eV/atom
- Space-group type: Cmcm, No. 63
- Crystal system: orthorhombic


A plane-wave DFT calculation with PBE-GGA was carried out for a relaxed LaHoCdAg crystal.

Unit cell a=3.7330 b=3.7330 c=7.7145 alpha=90.00 beta=90.00 gamma=90.00
Site moments in Bohr magnetons follow the coordinates.
Positions (direct):
La 0.5000 0.5000 0.1123  0.11
Cd 0.0000 0.0000 0.8335  0.00
Ho 0.5000 0.5000 0.5948  0.00
Ag 0.0000 0.0000 0.3873  0.00

## Properties
- Polymorph energy (0 for the lowest one): 0.000 eV per atom
- ΔE_f: -0.304 eV/atom
- Space-group type: P4mm, No. 99
- Crystal system: tetragonal


A plane-wave DFT calculation with PBE-GGA was carried out for a relaxed Sm2SeBr crystal.

Unit cell a=4.0346 b=4.0346 c=8.0868 alpha=75.55 beta=75.55 gamma=60.00
Positions (direct):
Se 0.0000 0.0000 0.0000
Sm 0.7364 0.7364 0.7909
Sm 0.2636 0.2636 0.2091
Br 0.5000 0.5000 0.5000

## Properties
- Polymorph energy (0 for the lowest one): 0.000 eV per atom
- Space-group type: R-3m, No. 166
- ΔE_f (raw): -1.41 eV/atom
- Crystal system: trigonal


A plane-wave DFT calculation with PBE-GGA was carried out for a relaxed BaBiAuO4 crystal.

Unit cell a=6.5377 b=6.5377 c=7.3610 alpha=90.00 beta=90.00 gamma=114.23
Positions (direct):
O 0.7474 0.7929 0.2500
O 0.2512 0.7488 0.9755
O 0.2512 0.7488 0.5245
O 0.2071 0.2526 0.2500
O 0.2526 0.2071 0.7500
O 0.7929 0.7474 0.7500
O 0.7488 0.2512 0.0245
O 0.7488 0.2512 0.4755
Bi 0.8664 0.1336 0.2500
Bi 0.1336 0.8664 0.7500
Au 0.2145 0.7855 0.2500
Au 0.7855 0.2145 0.7500
Ba 0.5000 0.5000 0.5000
Ba 0.5000 0.5000 0.0000

## Properties
- Space-group type: Cmcm, No. 63
- ΔE_f (raw): -1.08 eV/atom
- Crystal system: orthorhombic


A plane-wave DFT calculation with PBE-GGA was carried out for a relaxed Pr3TmSe4 crystal.

Unit cell a=7.2396 b=7.3819 c=8.3411 alpha=90.00 beta=90.00 gamma=109.15
Positions (direct):
Se 0.4991 0.7658 0.1171
Se 0.4908 0.2413 0.3656
Se 0.0009 0.2342 0.1171
Se 0.5009 0.2342 0.8829
Se 0.9991 0.7658 0.8829
Se 0.5092 0.7587 0.6344
Se 0.0092 0.7587 0.3656
Se 0.9908 0.2413 0.6344
Pr 0.2500 0.5000 0.3792
Pr 0.2500 0.0000 0.6229
Pr 0.2500 0.5000 0.8728
Pr 0.7500 0.5000 0.1272
Pr 0.7500 0.0000 0.3771
Pr 0.7500 0.5000 0.6208
Tm 0.7500 0.0000 0.8733
Tm 0.2500 0.0000 0.1267

## Properties
- Polymorph energy (0 for the lowest one): 0.000 eV per atom
- Space-group type: P2/c, No. 13
- ΔE_f (raw): -1.80 eV/atom
- Crystal system: monoclinic


A plane-wave DFT calculation with PBE-GGA was carried out for a relaxed VCuTcSn crystal.

Unit cell a=4.4221 b=4.4221 c=4.4221 alpha=60.00 beta=60.00 gamma=60.00
Site moments in Bohr magnetons follow the coordinates.
Positions (direct):
V 0.7500 0.7500 0.7500  0.32
Sn 0.2500 0.2500 0.2500  0.00
Tc 0.0000 0.0000 0.0000  -0.07
Cu 0.5000 0.5000 0.5000  0.03

## Properties
- ΔE_f: 0.102 eV/atom
- Space-group type: F-43m, No. 216
- Crystal system: cubic


A plane-wave DFT calculation with PBE-GGA was carried out for a relaxed Er4Pd15Pb crystal.

Unit cell a=4.1073 b=4.1073 c=20.4989 alpha=90.00 beta=90.00 gamma=90.00
Positions (direct):
Pd 0.5000 0.0000 0.6998
Pd 0.5000 0.0000 0.1002
Pd 0.5000 0.5000 0.3995
Pd 0.5000 0.0000 0.8998
Pd 0.5000 0.5000 0.8007
Pd 0.0000 0.5000 0.6998
Pd 0.0000 0.5000 0.1002
Pd 0.5000 0.5000 0.0000
Pd 0.5000 0.0000 0.3002
Pd 0.0000 0.5000 0.5000
Pd 0.5000 0.0000 0.5000
Pd 0.5000 0.5000 0.1993
Pd 0.0000 0.5000 0.8998
Pd 0.5000 0.5000 0.6005
Pd 0.0000 0.5000 0.3002
Er 0.0000 0.0000 0.7986
Er 0.0000 0.0000 0.4004
Er 0.0000 0.0000 0.2014
Er 0.0000 0.0000 0.5996
Pb 0.0000 0.0000 0.0000

## Properties
- ΔE_f: -0.781 eV/atom
- Space-group type: P4/mmm, No. 123
- Crystal system: tetragonal


A plane-wave DFT calculation with PBE-GGA was carried out for a relaxed Y2MgTcH crystal.

Unit cell a=5.0643 b=5.0643 c=3.6756 alpha=90.00 beta=90.00 gamma=90.00
Positions (direct):
Y 0.5000 0.0000 0.0000
Y 0.0000 0.5000 0.0000
Mg 0.5000 0.5000 0.5000
Tc 0.0000 0.0000 0.5000
H 0.0000 0.0000 0.0000

## Properties
- Space-group type: P4/mmm, No. 123
- Crystal system: tetragonal
- Total DFT energy (no corrections): -5.80 eV per atom


A plane-wave DFT calculation with PBE-GGA was carried out for a relaxed Er3Sc2S7 crystal.

Unit cell a=6.4571 b=6.4571 c=11.3335 alpha=75.68 beta=75.68 gamma=33.46
Positions (direct):
Er 0.0000 0.0000 0.0000
Er 0.6971 0.6971 0.1993
Er 0.3029 0.3029 0.8007
S 0.6617 0.6617 0.9470
S 0.3383 0.3383 0.0530
S 0.5000 0.5000 0.5000
S 0.0343 0.0343 0.2221
S 0.2629 0.2629 0.3602
S 0.9657 0.9657 0.7779
S 0.7371 0.7371 0.6398
Sc 0.8886 0.8886 0.4281
Sc 0.1114 0.1114 0.5719

## Properties
- Space-group type: C2/m, No. 12
- ΔE_f (raw): -2.01 eV/atom
- Crystal system: monoclinic


Please write out number 4 again, unchanged.
A plane-wave DFT calculation with PBE-GGA was carried out for a relaxed InGa3Pt crystal.

Unit cell a=5.6635 b=6.4375 c=6.4402 alpha=120.12 beta=89.97 gamma=90.02
Positions (direct):
Ga 0.2500 0.8060 0.6120
Ga 0.2500 0.3881 0.1940
Ga 0.7500 0.1940 0.3880
Ga 0.2499 0.8062 0.1937
Ga 0.7500 0.6119 0.8060
Ga 0.7501 0.1938 0.8063
In 0.2501 0.3333 0.6665
In 0.7499 0.6667 0.3335
Pt 0.0000 0.0000 0.0000
Pt 0.5000 0.0000 0.0000

## Properties
- Polymorph energy (0 for the lowest one): 0.122 eV per atom
- ΔE_f: -0.191 eV/atom
- Space-group type: Cmcm, No. 63
- Crystal system: orthorhombic


What did the fourth record say?
A plane-wave DFT calculation with PBE-GGA was carried out for a relaxed InGa3Pt crystal.

Unit cell a=5.6635 b=6.4375 c=6.4402 alpha=120.12 beta=89.97 gamma=90.02
Positions (direct):
Ga 0.2500 0.8060 0.6120
Ga 0.2500 0.3881 0.1940
Ga 0.7500 0.1940 0.3880
Ga 0.2499 0.8062 0.1937
Ga 0.7500 0.6119 0.8060
Ga 0.7501 0.1938 0.8063
In 0.2501 0.3333 0.6665
In 0.7499 0.6667 0.3335
Pt 0.0000 0.0000 0.0000
Pt 0.5000 0.0000 0.0000

## Properties
- Polymorph energy (0 for the lowest one): 0.122 eV per atom
- ΔE_f: -0.191 eV/atom
- Space-group type: Cmcm, No. 63
- Crystal system: orthorhombic


Repeat the fifth record exactly.
A plane-wave DFT calculation with PBE-GGA was carried out for a relaxed LaHoCdAg crystal.

Unit cell a=3.7330 b=3.7330 c=7.7145 alpha=90.00 beta=90.00 gamma=90.00
Site moments in Bohr magnetons follow the coordinates.
Positions (direct):
La 0.5000 0.5000 0.1123  0.11
Cd 0.0000 0.0000 0.8335  0.00
Ho 0.5000 0.5000 0.5948  0.00
Ag 0.0000 0.0000 0.3873  0.00

## Properties
- Polymorph energy (0 for the lowest one): 0.000 eV per atom
- ΔE_f: -0.304 eV/atom
- Space-group type: P4mm, No. 99
- Crystal system: tetragonal


Which formula does entry 12 have? Er3Sc2S7